Entry 1:
## Pd (GGA-PBE)

Data for a relaxed Pd crystal.

Output
- Energy above the lowest structure with this stoichiometry: 788 meV per atom
- Space-group type: P6/mmm, No. 191
- DFT formation energy: 0.788 eV per atom

Cell: 4.4028 4.4028 2.6000 Å, 90.00 90.00 120.00°
Atoms (fractional coordinates):
1 Pd 0.6667 0.3333 0.5000
2 Pd 0.3333 0.6667 0.5000



Entry 2:
## TlHgCl2 (GGA-PBE)

Data for a relaxed TlHgCl2 crystal.

Output
- Formation energy from raw total energies: -586 meV/atom
- Energy above the lowest structure with this stoichiometry: 41 meV per atom
- Space-group type: P4mm, No. 99

Cell: 4.4606 4.4607 6.2237 Å, 90.00 90.00 90.00°
Atoms (fractional coordinates):
1 Hg 0.0000 0.0000 0.3746
2 Tl 0.5000 0.5000 0.8745
3 Cl 0.0000 0.0000 0.8766
4 Cl 0.5000 0.5000 0.3743



Entry 3:
## K2Rb6CdAu (GGA-PBE)

Data for a relaxed K2Rb6CdAu crystal.

Output
- Space-group type: Imm2, No. 44
- DFT formation energy: -0.036 eV per atom

Cell: 10.0765 10.0764 10.0822 Å, 120.02 120.03 90.00°
Atoms (fractional coordinates):
1 Rb 0.7584 0.2422 0.0001
2 Rb 0.2416 0.2421 0.4829
3 Rb 0.2417 0.7589 0.0002
4 Rb 0.7583 0.7588 0.0001
5 Rb 0.7582 0.7587 0.5165
6 Rb 0.2418 0.2423 0.0004
7 K 0.2493 0.7506 0.4992
8 K 0.7501 0.2498 0.4992
9 Au 0.9998 0.0003 0.9998
10 Cd 0.4996 0.5002 0.9995



Entry 4:
## ScTiS (GGA-PBE)

Data for a relaxed ScTiS crystal.

Output
- Formation energy from raw total energies: -1172 meV/atom
- Energy above the lowest structure with this stoichiometry: 0 meV per atom
- Space-group type: P4/nmm, No. 129

Cell: 3.6100 3.6100 8.3384 Å, 90.00 90.00 90.00°
Last column: magnetic moment on the atom in μB.
Atoms (fractional coordinates):
1 Sc 0.7501 0.2499 0.1907  0.01
2 Sc 0.2499 0.7501 0.8093  0.01
3 S 0.2501 0.7499 0.1383  0.00
4 S 0.7499 0.2501 0.8617  0.00
5 Ti 0.7500 0.2500 0.5618  0.41
6 Ti 0.2500 0.7500 0.4382  0.41



Entry 5:
## HgMo2Ir (GGA-PBE)

Data for a relaxed HgMo2Ir crystal.

Output
- Space-group type: I-4m2, No. 119
- DFT formation energy: 0.378 eV per atom

Cell: 4.9431 4.9431 4.9431 Å, 131.84 131.84 70.48°
Atoms (fractional coordinates):
1 Mo 0.2500 0.7500 0.5000
2 Mo 0.0000 0.0000 0.0000
3 Hg 0.5000 0.5000 0.0000
4 Ir 0.7500 0.2500 0.5000



Entry 6:
## BaZrF6 (GGA-PBE)

Data for a relaxed BaZrF6 crystal.

Output
- Formation energy from raw total energies: -3812 meV/atom
- Space-group type: Cmme, No. 67

Cell: 6.9497 6.9497 5.6117 Å, 90.00 90.00 112.11°
Atoms (fractional coordinates):
1 Zr 0.2500 0.2500 0.0000
2 Zr 0.7500 0.7500 0.0000
3 F 0.8187 0.5679 0.7492
4 F 0.0703 0.9297 0.8501
5 F 0.5679 0.8187 0.2508
6 F 0.0679 0.3187 0.7492
7 F 0.6813 0.9321 0.7492
8 F 0.4297 0.5703 0.8501
9 F 0.9321 0.6813 0.2508
10 F 0.1813 0.4321 0.2508
11 F 0.5703 0.4297 0.1499
12 F 0.9297 0.0703 0.1499
13 F 0.3187 0.0679 0.2508
14 F 0.4321 0.1813 0.7492
15 Ba 0.2500 0.7500 0.5563
16 Ba 0.7500 0.2500 0.4437



Entry 7:
## InSnH2 (GGA-PBE)

Data for a relaxed InSnH2 crystal.

Output
- Energy above the lowest structure with this stoichiometry: 0 meV per atom
- Space-group type: I-42d, No. 122

Cell: 5.4416 5.4416 5.9249 Å, 62.66 62.66 90.00°
Atoms (fractional coordinates):
1 In 0.2500 0.7500 0.5000
2 In 0.5000 0.5000 0.0000
3 Sn 0.7500 0.2500 0.5000
4 Sn 0.0000 0.0000 0.0000
5 H 0.5503 0.1250 0.2500
6 H 0.3750 0.4497 0.7500
7 H 0.8750 0.8003 0.7500
8 H 0.1997 0.6250 0.2500



Entry 8:
## Zr2NbAg (GGA-PBE)

Data for a relaxed Zr2NbAg crystal.

Output
- Energy above the lowest structure with this stoichiometry: 92 meV per atom
- Space-group type: Fm-3m, No. 225
- DFT formation energy: 0.057 eV per atom

Cell: 4.8473 4.8473 4.8473 Å, 60.00 60.00 60.00°
Atoms (fractional coordinates):
1 Zr 0.7500 0.7500 0.7500
2 Zr 0.2500 0.2500 0.2500
3 Nb 0.0000 0.0000 0.0000
4 Ag 0.5000 0.5000 0.5000



Entry 9:
## HfRh2Pb (GGA-PBE)

Data for a relaxed HfRh2Pb crystal.

Output
- Space-group type: P4/mmm, No. 123
- DFT formation energy: -0.410 eV per atom

Cell: 3.7386 4.3829 4.3829 Å, 90.00 90.00 90.00°
Atoms (fractional coordinates):
1 Rh 0.0000 0.0000 0.5000
2 Rh 0.0000 0.5000 0.0000
3 Pb 0.5000 0.0000 0.0000
4 Hf 0.5000 0.5000 0.5000



Entry 10:
## NaAc2TcO6 (GGA-PBE)

Data for a relaxed NaAc2TcO6 crystal.

Output
- Formation energy from raw total energies: -2301 meV/atom
- Space-group type: P4mm, No. 99

Cell: 5.2053 5.6082 5.6082 Å, 90.00 90.00 90.00°
Atoms (fractional coordinates):
1 Ac 0.0119 0.0000 0.5000
2 Ac 0.0119 0.5000 0.0000
3 Tc 0.5764 0.0000 0.0000
4 O 0.7291 0.2241 0.7759
5 O 0.2331 0.0000 0.0000
6 O 0.1271 0.5000 0.5000
7 O 0.7291 0.7759 0.7759
8 O 0.7291 0.2241 0.2241
9 O 0.7291 0.7759 0.2241
10 Na 0.5702 0.5000 0.5000



Entry 11:
## MgNiRh6 (GGA-PBE)

Data for a relaxed MgNiRh6 crystal.

Output
- Space-group type: C2/m, No. 12
- DFT formation energy: -0.098 eV per atom

Cell: 3.8277 4.6959 7.1729 Å, 77.47 74.53 65.95°
Last column: magnetic moment on the atom in μB.
Atoms (fractional coordinates):
1 Rh 0.4983 0.2620 0.7413  0.11
2 Rh 0.2502 0.8768 0.6228  0.12
3 Rh 0.7498 0.1232 0.3772  0.12
4 Rh 0.5017 0.7380 0.2587  0.11
5 Rh 0.7519 0.6255 0.8707  0.06
6 Rh 0.2481 0.3745 0.1293  0.06
7 Mg 0.0000 0.0000 0.0000  0.00
8 Ni 0.0000 0.5000 0.5000  0.53



Entry 12:
## Ga3BiP (GGA-PBE)

Data for a relaxed Ga3BiP crystal.

Output
- Energy above the lowest structure with this stoichiometry: 805 meV per atom
- Space-group type: Pm-3m, No. 221
- DFT formation energy: 0.972 eV per atom

Cell: 5.4664 5.4664 5.4664 Å, 90.00 90.00 90.00°
Atoms (fractional coordinates):
1 Bi 0.0000 0.0000 0.0000
2 P 0.5000 0.5000 0.5000
3 Ga 0.5000 0.0000 0.0000
4 Ga 0.0000 0.0000 0.5000
5 Ga 0.0000 0.5000 0.0000



no.,size of the total moment (Bohr magnetons per cell)
1,0.000
2,0.000
3,0.000
4,1.025
5,0.000
6,0.000
7,0.000
8,0.000
9,0.000
10,0.000
11,1.062
12,0.000